1.
TlIr3: optimized geometry, PBE.

Calculated values
electronic total energy: -107.15 eV for the cell shown
energy relative to the elements: 0.5403 eV per atom

a b c (Å): 5.740 5.740 9.155
angles (deg): 90.00 90.00 120.00
Positions (direct):
Ir: 0.341 0.170 0.250
Ir: 0.170 0.830 0.750
Ir: 0.830 0.170 0.250
Ir: 0.659 0.830 0.750
Ir: 0.500 0.500 0.000
Ir: 0.000 0.500 0.000
Ir: 0.500 0.000 0.500
Ir: 0.500 0.000 0.000
Ir: 0.170 0.341 0.750
Ir: 0.500 0.500 0.500
Tl: 0.667 0.333 0.750
Ir: 0.000 0.500 0.500
Ir: 0.830 0.659 0.250
Tl: 0.000 0.000 0.000
Tl: 0.333 0.667 0.250
Tl: 0.000 0.000 0.500

=====

2.
TlIr3: optimized geometry, PBE.

Calculated values
electronic total energy: -26.34 eV for the cell shown
energy relative to the elements: 0.6530 eV per atom

a b c (Å): 2.852 2.852 9.699
angles (deg): 90.00 90.00 121.03
Positions (direct):
Ir: 0.000 0.000 0.517
Tl: 0.500 0.500 0.250
Ir: 0.000 0.000 0.983
Ir: 0.500 0.500 0.750

=====

3.
TlIr2: optimized geometry, PBE.

Calculated values
electronic total energy: -18.29 eV for the cell shown
energy relative to the elements: 0.6000 eV per atom

a b c (Å): 2.955 2.955 6.843
angles (deg): 90.00 90.00 120.00
Positions (direct):
Tl: 0.000 0.000 0.000
Ir: 0.667 0.333 0.650
Ir: 0.333 0.667 0.350

=====

4.
TlIr3: optimized geometry, PBE.

Calculated values
electronic total energy: -27.13 eV for the cell shown
energy relative to the elements: 0.4544 eV per atom

a b c (Å): 2.846 3.849 6.050
angles (deg): 90.00 90.00 90.00
Positions (direct):
Ir: 0.000 0.000 0.500
Ir: 0.500 0.500 0.280
Ir: 0.500 0.500 0.720
Tl: 0.000 0.000 0.000

=====

5.
Tl4Ir: optimized geometry, PBE.

Calculated values
electronic total energy: -17.55 eV for the cell shown
energy relative to the elements: 0.1558 eV per atom

a b c (Å): 5.327 5.327 5.327
angles (deg): 90.00 90.00 90.00
Positions (direct):
Tl: 0.000 0.000 0.000
Tl: 0.500 0.500 0.000
Tl: 0.000 0.500 0.500
Ir: 0.500 0.500 0.500
Tl: 0.500 0.000 0.500

=====

6.
TlIr2: optimized geometry, PBE.

Calculated values
electronic total energy: -37.62 eV for the cell shown
energy relative to the elements: 0.4259 eV per atom

a b c (Å): 6.567 6.567 6.700
angles (deg): 69.09 69.09 25.03
Positions (direct):
Ir: 0.745 0.745 0.337
Ir: 0.840 0.840 0.910
Tl: 0.454 0.454 0.275
Ir: 0.255 0.255 0.663
Ir: 0.160 0.160 0.090
Tl: 0.546 0.546 0.725

=====

7.
Tl3Ir2: optimized geometry, PBE.

Calculated values
electronic total energy: -22.05 eV for the cell shown
energy relative to the elements: 0.5540 eV per atom

a b c (Å): 11.943 11.943 11.943
angles (deg): 15.48 15.48 15.48
Positions (direct):
Tl: 0.210 0.210 0.210
Ir: 0.607 0.607 0.607
Tl: 0.790 0.790 0.790
Tl: 0.000 0.000 0.000
Ir: 0.393 0.393 0.393

=====

8.
Tl3Ir: optimized geometry, PBE.

Calculated values
electronic total energy: -13.82 eV for the cell shown
energy relative to the elements: 0.5348 eV per atom

a b c (Å): 5.125 5.125 5.125
angles (deg): 60.00 60.00 60.00
Positions (direct):
Tl: 0.500 0.500 0.500
Ir: 0.000 0.000 0.000
Tl: 0.750 0.750 0.750
Tl: 0.250 0.250 0.250

=====

> The highest energy relative to the elements belongs to which entry?

number 2

=====

> What is the energy relative to the elements in the first record?

0.5403 eV per atom

=====

> energy relative to the elements of number 1 (TlIr3)?

0.5403 eV per atom